[1]
# Sm2Y5Ho

A geometry-optimized Sm2Y5Ho structure (PBE-GGA, Alexandria).

Output
Energy of formation from the pure elements   0.5 kcal/mol of atoms

extended XYZ file:
```
16
Lattice="5.053 0.000 0.000 0.000 7.163 0.000 0.000 0.000 14.325" Properties=species:S:1:pos:R:3 pbc="T T T"
Sm 2.526 5.378 5.380
Sm 2.526 5.366 12.543
Sm 2.526 1.797 1.782
Sm 2.526 1.784 8.945
Y 2.526 5.374 8.949
Y 0.000 3.578 10.754
Y 0.000 3.585 3.572
Y 0.000 0.000 0.000
Y 2.526 5.370 1.786
Y 2.526 1.789 5.377
Y 2.526 1.792 12.540
Y 0.000 3.581 7.163
Y 0.000 7.160 10.734
Y 0.000 0.003 3.591
Ho 0.000 3.581 0.000
Ho 0.000 0.000 7.163
```

[2]
# CsMoC6

A geometry-optimized CsMoC6 structure (PBE-GGA, Alexandria).

Output
Energy of formation from the pure elements   20.9 kcal/mol of atoms

extended XYZ file:
```
8
Lattice="5.445 0.000 0.000 0.000 5.445 0.000 0.000 0.000 5.445" Properties=species:S:1:pos:R:3 pbc="T T T"
C 4.810 2.722 2.722
C 2.722 0.635 2.722
C 2.722 2.722 0.635
C 2.722 2.722 4.810
C 0.635 2.722 2.722
C 2.722 4.810 2.722
Cs 0.000 0.000 0.000
Mo 2.722 2.722 2.722
```

[3]
# SiIr4Os

A geometry-optimized SiIr4Os structure (PBE-GGA, Alexandria).

Output
E_form (uncorrected)   901 meV per atom

extended XYZ file:
```
6
Lattice="0.000 3.630 3.630 3.630 0.000 3.630 3.630 3.630 0.000" Properties=species:S:1:pos:R:3 pbc="T T T"
Ir 2.724 4.536 4.536
Ir 2.724 2.724 2.724
Ir 4.536 2.724 4.536
Ir 4.536 4.536 2.724
Os 5.445 5.445 5.445
Si 0.000 0.000 0.000
```

[4]
# Fe5Si2B

A geometry-optimized Fe5Si2B structure (PBE-GGA, Alexandria).

Output
E_form (uncorrected)   -348 meV per atom

extended XYZ file:
```
16
Lattice="-4.346 4.346 2.206 4.346 -4.346 2.206 4.346 4.346 -2.206" Properties=species:S:1:pos:R:3 pbc="T T T"
Fe -2.541 3.722 2.206
Fe 2.541 3.722 0.000
Fe 0.000 4.346 1.103
Fe 3.722 2.541 2.206
Fe 6.887 0.624 0.000
Fe -0.624 1.805 2.206
Fe 0.624 1.805 0.000
Fe 4.970 2.541 0.000
Fe 4.346 0.000 1.103
Fe 1.805 0.624 2.207
B 0.000 0.000 3.310
B 0.000 0.000 1.103
Si 1.456 5.802 0.000
Si 2.890 1.456 0.000
Si 1.456 2.890 2.206
Si 2.890 -1.456 2.206
```

Number 1: volume 32.40 A^3/atom. Number 2: volume 20.18 A^3/atom. Number 3: volume 15.95 A^3/atom. Number 4: volume 10.42 A^3/atom.